Computed, not measured: LiYHg2 after structural relaxation at the GGA-PBEsol level of DFT.

a = 3.4461 Å, b = 3.4461 Å, c = 7.0776 Å
α = 90.00°, β = 90.00°, γ = 90.00°
Space group P4/mmm (No. 123)
Unique sites:
Li: 0.0000 0.0000 0.0000 (multiplicity 1)
Y: 0.0000 0.0000 0.5000 (multiplicity 1)
Hg: 0.5000 0.5000 0.2180 (multiplicity 2)

The value obtained for the energy above the most stable polymorph in this dataset is 53 meV per atom. The calculation puts the energy relative to the elements at -0.486 eV/atom. Its density of states at the Fermi level is 2.69 states/eV per cell. The value obtained for the total DFT energy (no corrections) is -0.218 Ry per atom. The magnetization comes out at 0.11 μB per cell. As for the calculated volume: 84.1 Å³ per cell.